LiGa2Cu after structural relaxation, computed with PBE.

Geometry as CIF:
```
data_LiGa2Cu
_symmetry_space_group_name_H-M 'P -1'
_symmetry_Int_Tables_number 2
_symmetry_space_group_name_Hall '-P 1'
_cell_length_a 4.323
_cell_length_b 4.872
_cell_length_c 6.591
_cell_angle_alpha 79.27
_cell_angle_beta 89.94
_cell_angle_gamma 63.68
loop_
_atom_site_label
_atom_site_type_symbol
_atom_site_fract_x
_atom_site_fract_y
_atom_site_fract_z
Li1 Li 0.101 0.299 0.184
Ga1 Ga 0.218 0.063 0.826
Ga2 Ga 0.350 0.799 0.497
Cu1 Cu 0.437 0.628 0.155
```

## Properties
- calculated total energy (eV/atom) = -3.2095
- crystal system = triclinic


Li4GaCu3 after structural relaxation, computed with PBE.

Geometry as CIF:
```
data_Li4GaCu3
_symmetry_space_group_name_H-M 'C m m m'
_symmetry_Int_Tables_number 65
_symmetry_space_group_name_Hall '-C 2 2'
_cell_length_a 4.121
_cell_length_b 22.445
_cell_length_c 2.630
_cell_angle_alpha 90.00
_cell_angle_beta 90.00
_cell_angle_gamma 90.00
loop_
_atom_site_label
_atom_site_type_symbol
_atom_site_fract_x
_atom_site_fract_y
_atom_site_fract_z
Li1 Li 0.000 0.106 0.000
Li2 Li 0.000 0.220 0.000
Ga1 Ga 0.000 0.000 0.500
Cu1 Cu 0.000 0.331 0.500
Cu2 Cu 0.000 0.500 0.000
```

## Properties
- calculated total energy (eV/atom) = -2.8387
- crystal system = orthorhombic


Li2GaCu2 after structural relaxation, computed with PBE.

Geometry as CIF:
```
data_Li2GaCu2
_symmetry_space_group_name_H-M 'P 4/m b m'
_symmetry_Int_Tables_number 127
_symmetry_space_group_name_Hall '-P 4 2ab'
_cell_length_a 6.664
_cell_length_b 6.664
_cell_length_c 2.993
_cell_angle_alpha 90.00
_cell_angle_beta 90.00
_cell_angle_gamma 90.00
loop_
_atom_site_label
_atom_site_type_symbol
_atom_site_fract_x
_atom_site_fract_y
_atom_site_fract_z
Li1 Li 0.131 0.369 0.000
Ga1 Ga 0.000 0.000 0.000
Cu1 Cu 0.167 0.667 0.500
```

## Properties
- calculated total energy (eV/atom) = -2.9871
- crystal system = tetragonal


Li2GaCu2 after structural relaxation, computed with PBE.

Geometry as CIF:
```
data_Li2GaCu2
_symmetry_space_group_name_H-M 'C 1 2/c 1'
_symmetry_Int_Tables_number 15
_symmetry_space_group_name_Hall '-C 2yc'
_cell_length_a 9.116
_cell_length_b 4.251
_cell_length_c 7.083
_cell_angle_alpha 90.00
_cell_angle_beta 106.87
_cell_angle_gamma 90.00
loop_
_atom_site_label
_atom_site_type_symbol
_atom_site_fract_x
_atom_site_fract_y
_atom_site_fract_z
Li1 Li 0.195 0.249 0.149
Ga1 Ga 0.000 0.249 0.750
Cu1 Cu 0.099 0.251 0.449
```

## Properties
- calculated total energy (eV/atom) = -3.1956
- crystal system = monoclinic


Li2GaCu2 after structural relaxation, computed with PBE.

Geometry as CIF:
```
data_Li2GaCu2
_symmetry_space_group_name_H-M 'I 4/m m m'
_symmetry_Int_Tables_number 139
_symmetry_space_group_name_Hall '-I 4 2'
_cell_length_a 3.494
_cell_length_b 3.494
_cell_length_c 12.352
_cell_angle_alpha 90.00
_cell_angle_beta 90.00
_cell_angle_gamma 90.00
loop_
_atom_site_label
_atom_site_type_symbol
_atom_site_fract_x
_atom_site_fract_y
_atom_site_fract_z
Li1 Li 0.000 0.500 0.250
Ga1 Ga 0.000 0.000 0.000
Cu1 Cu 0.000 0.000 0.404
```

## Properties
- calculated total energy (eV/atom) = -2.8643
- crystal system = tetragonal


Li2Ga2Cu3 after structural relaxation, computed with PBE.

Geometry as CIF:
```
data_Li2Ga2Cu3
_symmetry_space_group_name_H-M 'C 1 2/m 1'
_symmetry_Int_Tables_number 12
_symmetry_space_group_name_Hall '-C 2y'
_cell_length_a 7.293
_cell_length_b 4.189
_cell_length_c 6.453
_cell_angle_alpha 90.00
_cell_angle_beta 111.65
_cell_angle_gamma 90.00
loop_
_atom_site_label
_atom_site_type_symbol
_atom_site_fract_x
_atom_site_fract_y
_atom_site_fract_z
Li1 Li 0.071 0.000 0.214
Ga1 Ga 0.221 0.000 0.665
Cu1 Cu 0.000 0.500 0.500
Cu2 Cu 0.141 0.500 0.923
```

## Properties
- calculated total energy (eV/atom) = -3.3452
- crystal system = monoclinic


Li2Ga5Cu after structural relaxation, computed with PBE.

Geometry as CIF:
```
data_Li2Ga5Cu
_symmetry_space_group_name_H-M 'C 1 m 1'
_symmetry_Int_Tables_number 8
_symmetry_space_group_name_Hall 'C -2y'
_cell_length_a 6.377
_cell_length_b 8.416
_cell_length_c 5.479
_cell_angle_alpha 90.00
_cell_angle_beta 113.57
_cell_angle_gamma 90.00
loop_
_atom_site_label
_atom_site_type_symbol
_atom_site_fract_x
_atom_site_fract_y
_atom_site_fract_z
Li1 Li 0.000 0.215 0.000
Ga1 Ga 0.029 0.279 0.518
Ga2 Ga 0.161 0.500 0.873
Ga3 Ga 0.314 0.500 0.395
Ga4 Ga 0.353 0.000 0.148
Cu1 Cu 0.235 0.000 0.634
```

## Properties
- calculated total energy (eV/atom) = -3.0410
- crystal system = monoclinic


Li3Ga2Cu3 after structural relaxation, computed with PBE.

Geometry as CIF:
```
data_Li3Ga2Cu3
_symmetry_space_group_name_H-M 'C 1 2/m 1'
_symmetry_Int_Tables_number 12
_symmetry_space_group_name_Hall '-C 2y'
_cell_length_a 12.124
_cell_length_b 4.368
_cell_length_c 4.327
_cell_angle_alpha 90.00
_cell_angle_beta 110.75
_cell_angle_gamma 90.00
loop_
_atom_site_label
_atom_site_type_symbol
_atom_site_fract_x
_atom_site_fract_y
_atom_site_fract_z
Li1 Li 0.000 0.000 0.000
Li2 Li 0.126 0.000 0.627
Ga1 Ga 0.243 0.500 0.741
Cu1 Cu 0.000 0.500 0.500
Cu2 Cu 0.120 0.500 0.120
```

## Properties
- calculated total energy (eV/atom) = -3.1714
- crystal system = monoclinic


Li4Ga5Cu after structural relaxation, computed with PBE.

Geometry as CIF:
```
data_Li4Ga5Cu
_symmetry_space_group_name_H-M 'P 4/m m m'
_symmetry_Int_Tables_number 123
_symmetry_space_group_name_Hall '-P 4 2'
_cell_length_a 3.153
_cell_length_b 3.153
_cell_length_c 15.400
_cell_angle_alpha 90.00
_cell_angle_beta 90.00
_cell_angle_gamma 90.00
loop_
_atom_site_label
_atom_site_type_symbol
_atom_site_fract_x
_atom_site_fract_y
_atom_site_fract_z
Li1 Li 0.000 0.000 0.106
Li2 Li 0.000 0.000 0.310
Ga1 Ga 0.500 0.500 0.000
Ga2 Ga 0.500 0.500 0.210
Ga3 Ga 0.500 0.500 0.408
Cu1 Cu 0.000 0.000 0.500
```

## Properties
- calculated total energy (eV/atom) = -2.9085
- crystal system = tetragonal


LiGa4Cu8 after structural relaxation, computed with PBE.

Geometry as CIF:
```
data_LiGa4Cu8
_symmetry_space_group_name_H-M 'P m m 2'
_symmetry_Int_Tables_number 25
_symmetry_space_group_name_Hall 'P 2 -2'
_cell_length_a 2.704
_cell_length_b 4.166
_cell_length_c 15.842
_cell_angle_alpha 90.00
_cell_angle_beta 90.00
_cell_angle_gamma 90.00
loop_
_atom_site_label
_atom_site_type_symbol
_atom_site_fract_x
_atom_site_fract_y
_atom_site_fract_z
Li1 Li 0.000 0.000 0.000
Ga1 Ga 0.000 0.000 0.269
Ga2 Ga 0.000 0.500 0.457
Ga3 Ga 0.500 0.000 0.696
Ga4 Ga 0.500 0.500 0.896
Cu1 Cu 0.000 0.000 0.554
Cu2 Cu 0.000 0.000 0.842
Cu3 Cu 0.000 0.500 0.159
Cu4 Cu 0.000 0.500 0.742
Cu5 Cu 0.500 0.000 0.136
Cu6 Cu 0.500 0.000 0.412
Cu7 Cu 0.500 0.500 0.309
Cu8 Cu 0.500 0.500 0.600
```

## Properties
- calculated total energy (eV/atom) = -3.6503
- crystal system = orthorhombic


LiGa2Cu2 after structural relaxation, computed with PBE.

Geometry as CIF:
```
data_LiGa2Cu2
_symmetry_space_group_name_H-M 'C 1 2/c 1'
_symmetry_Int_Tables_number 15
_symmetry_space_group_name_Hall '-C 2yc'
_cell_length_a 8.947
_cell_length_b 4.685
_cell_length_c 6.956
_cell_angle_alpha 90.00
_cell_angle_beta 110.54
_cell_angle_gamma 90.00
loop_
_atom_site_label
_atom_site_type_symbol
_atom_site_fract_x
_atom_site_fract_y
_atom_site_fract_z
Li1 Li 0.000 0.183 0.250
Ga1 Ga 0.184 0.178 0.645
Cu1 Cu 0.106 0.336 0.955
```

## Properties
- calculated total energy (eV/atom) = -3.4115
- crystal system = monoclinic


Li4GaCu5 after structural relaxation, computed with PBE.

Geometry as CIF:
```
data_Li4GaCu5
_symmetry_space_group_name_H-M 'I 4'
_symmetry_Int_Tables_number 79
_symmetry_space_group_name_Hall 'I 4'
_cell_length_a 7.580
_cell_length_b 7.580
_cell_length_c 4.717
_cell_angle_alpha 90.00
_cell_angle_beta 90.00
_cell_angle_gamma 90.00
loop_
_atom_site_label
_atom_site_type_symbol
_atom_site_fract_x
_atom_site_fract_y
_atom_site_fract_z
Li1 Li 0.151 0.235 0.000
Ga1 Ga 0.000 0.000 0.288
Cu1 Cu 0.000 0.000 0.761
Cu2 Cu 0.036 0.343 0.507
```

## Properties
- calculated total energy (eV/atom) = -3.0321
- crystal system = tetragonal


| no. | formation enthalpy at 0 K (eV per formula unit) | V (Å³ per atom) | ρ (g cm⁻³) |
| --- | --- | --- | --- |
| 1 | -0.77 | 15.22 | 5.73 |
| 2 | 0.26 | 15.20 | 3.93 |
| 3 | 0.11 | 13.29 | 5.26 |
| 4 | -0.93 | 13.14 | 5.33 |
| 5 | 0.73 | 15.08 | 4.64 |
| 6 | -1.25 | 13.09 | 6.23 |
| 7 | -1.27 | 16.84 | 5.25 |
| 8 | -1.29 | 13.39 | 5.44 |
| 9 | -2.20 | 15.31 | 4.77 |
| 10 | -0.66 | 13.73 | 7.39 |
| 11 | -0.90 | 13.65 | 6.65 |
| 12 | 0.84 | 13.55 | 5.09 |